(1)
An optimized crystal structure of SmHfSc2As4. Source: Alexandria, functional PBE.

```
data_SmHfSc2As4
_chemical_formula_sum 'Sm2 Hf2 Sc4 As8'
_symmetry_space_group_name_H-M 'I -4 m 2'
_symmetry_Int_Tables_number 119
_symmetry_space_group_name_Hall 'I -4 -2'
_cell_length_a 5.6040
_cell_length_b 5.6040
_cell_length_c 11.1274
_cell_angle_alpha 90.00
_cell_angle_beta 90.00
_cell_angle_gamma 90.00
loop_
_atom_site_label
_atom_site_type_symbol
_atom_site_fract_x
_atom_site_fract_y
_atom_site_fract_z
Sm1 Sm 0.0000 0.0000 0.0000
Hf1 Hf 0.0000 0.5000 0.7500
Sc1 Sc 0.0000 0.0000 0.5000
Sc2 Sc 0.0000 0.5000 0.2500
As1 As 0.0000 0.0000 0.2581
As2 As 0.0000 0.5000 0.5025
```

Values from the calculation:
The value obtained for the total energy is -7.01 eV/atom. The calculation puts the density of states at the Fermi level at 0.4139 states/eV/atom.

(2)
An optimized crystal structure of La2TaPb2. Source: Alexandria, functional PBE.

```
data_La2TaPb2
_chemical_formula_sum 'La4 Ta2 Pb4'
_symmetry_space_group_name_H-M 'I 4/m m m'
_symmetry_Int_Tables_number 139
_symmetry_space_group_name_Hall '-I 4 2'
_cell_length_a 4.2630
_cell_length_b 4.2630
_cell_length_c 15.6339
_cell_angle_alpha 90.00
_cell_angle_beta 90.00
_cell_angle_gamma 90.00
loop_
_atom_site_label
_atom_site_type_symbol
_atom_site_fract_x
_atom_site_fract_y
_atom_site_fract_z
La1 La 0.0000 0.5000 0.2500
Ta1 Ta 0.0000 0.0000 0.0000
Pb1 Pb 0.0000 0.0000 0.4100
```

Values from the calculation:
The value obtained for the total energy is -5.18 eV/atom. The value obtained for the offset from the most stable computed form is 685.6 meV per atom. The calculation puts the density of states at the Fermi level at 1.1278 states/eV/atom.

(3)
An optimized crystal structure of Be10NbFe. Source: Alexandria, functional PBE.

```
data_Be10NbFe
_chemical_formula_sum 'Be10 Nb1 Fe1'
_symmetry_space_group_name_H-M 'P m m m'
_symmetry_Int_Tables_number 47
_cell_length_a 3.4264
_cell_length_b 4.2630
_cell_length_c 7.4912
_cell_angle_alpha 90.00
_cell_angle_beta 90.00
_cell_angle_gamma 90.00
loop_
_symmetry_equiv_pos_as_xyz
'x,y,z'
'-x,-y,-z'
'-x,-y,z'
'x,y,-z'
'x,-y,-z'
'-x,y,z'
'-x,y,-z'
'x,-y,z'
loop_
_atom_site_label
_atom_site_type_symbol
_atom_site_fract_x
_atom_site_fract_y
_atom_site_fract_z
Be1 Be 0.0000 0.0000 0.0000
Be2 Be 0.0000 0.2453 0.2477
Be3 Be 0.0000 0.5000 0.5000
Be4 Be 0.5000 0.0000 0.1563
Be5 Be 0.5000 0.5000 0.3129
Nb1 Nb 0.5000 0.0000 0.5000
Fe1 Fe 0.5000 0.5000 0.0000
```

Values from the calculation:
The value obtained for the total energy is -4.77 eV/atom. The calculation puts the density of states at the Fermi level at 0.3066 states/eV/atom.